Computed, not measured: Zn2PPt after structural relaxation at the PBEsol level of DFT.

POSCAR file:
```
Zn2PPt
1.0
-1.901 1.901 3.921
1.901 -1.901 3.921
1.901 1.901 -3.921
Zn P Pt
2 1 1
direct
0.000 0.000 0.000
0.750 0.250 0.500
0.500 0.500 0.000
0.250 0.750 0.500
```

Values from the calculation:
E = -4.06 eV per atom
Total magnetization = 0.000 μB per atom

=====

Computed, not measured: ZnPPt5 after structural relaxation at the PBEsol level of DFT.

POSCAR file:
```
ZnPPt5
1.0
3.872 0.000 0.000
0.000 3.872 0.000
0.000 0.000 6.881
Zn P Pt
1 1 5
direct
0.000 0.000 0.000
0.500 0.500 0.500
0.000 0.500 0.291
0.000 0.500 0.709
0.500 0.000 0.291
0.500 0.000 0.709
0.500 0.500 0.000
```

Values from the calculation:
E = -6.46 eV per atom
Total magnetization = 0.000 μB per atom

=====

Computed, not measured: ZnP2Pt after structural relaxation at the PBEsol level of DFT.

POSCAR file:
```
ZnP2Pt
1.0
0.000 3.081 3.081
3.081 0.000 3.081
3.081 3.081 0.000
Zn P Pt
1 2 1
direct
0.000 0.000 0.000
0.250 0.250 0.250
0.500 0.500 0.500
0.750 0.750 0.750
```

Values from the calculation:
E = -4.75 eV per atom
Total magnetization = 0.000 μB per atom

=====

Computed, not measured: ZrP2Pt after structural relaxation at the PBEsol level of DFT.

POSCAR file:
```
ZrP2Pt
1.0
-1.736 1.759 5.172
1.736 -1.759 5.172
1.736 1.759 -5.172
Zr P Pt
1 2 1
direct
0.000 0.000 0.000
0.312 0.812 0.500
0.580 0.580 0.000
0.756 0.256 0.500
```

Values from the calculation:
E above lowest polymorph = 0.00 kcal/mol of atoms
E = -7.73 eV per atom
Total magnetization = 0.000 μB per atom

=====

Computed, not measured: Zr6PPt2 after structural relaxation at the PBEsol level of DFT.

POSCAR file:
```
Zr6PPt2
1.0
7.284 0.000 0.000
-3.642 6.308 0.000
0.000 0.000 3.752
Zr P Pt
6 1 2
direct
0.000 0.396 0.000
0.000 0.742 0.500
0.258 0.258 0.500
0.396 0.000 0.000
0.604 0.604 0.000
0.742 0.000 0.500
0.000 0.000 0.000
0.333 0.667 0.500
0.667 0.333 0.500
```

Values from the calculation:
E = -9.10 eV per atom
Total magnetization = 0.000 μB per atom

=====

Computed, not measured: Zr2PPt after structural relaxation at the PBEsol level of DFT.

POSCAR file:
```
Zr2PPt
1.0
4.894 0.000 0.000
0.000 4.894 0.000
0.000 0.000 2.891
Zr P Pt
2 1 1
direct
0.000 0.500 0.000
0.500 0.000 0.000
0.000 0.000 0.500
0.500 0.500 0.500
```

Values from the calculation:
E = -8.61 eV per atom
Total magnetization = 0.000 μB per atom

=====

Computed, not measured: ZrPPt after structural relaxation at the PBEsol level of DFT.

POSCAR file:
```
ZrPPt
1.0
0.000 3.038 3.038
3.038 0.000 3.038
3.038 3.038 0.000
Zr P Pt
1 1 1
direct
0.000 0.000 0.000
0.500 0.500 0.500
0.250 0.250 0.250
```

Values from the calculation:
E = -7.99 eV per atom
Total magnetization = 0.000 μB per atom

=====

Computed, not measured: ZrP2Pt after structural relaxation at the PBEsol level of DFT.

POSCAR file:
```
ZrP2Pt
1.0
4.303 0.000 0.000
0.000 4.303 0.000
0.000 0.000 3.252
Zr P Pt
1 2 1
direct
0.000 0.000 0.000
0.000 0.500 0.500
0.500 0.000 0.500
0.500 0.500 0.000
```

Values from the calculation:
E above lowest polymorph = 0.44 kcal/mol of atoms
E = -7.71 eV per atom
Total magnetization = 0.000 μB per atom

=====

Computed, not measured: PuP after structural relaxation at the PBEsol level of DFT.

POSCAR file:
```
PuP
1.0
0.000 2.772 2.772
2.772 0.000 2.772
2.772 2.772 0.000
Pu P
1 1
direct
0.000 0.000 0.000
0.500 0.500 0.500
```

Values from the calculation:
E = -11.37 eV per atom
Total magnetization = 2.436 μB per atom

=====

Computed, not measured: Rb2P3 after structural relaxation at the PBEsol level of DFT.

POSCAR file:
```
Rb2P3
1.0
0.000 4.775 7.278
4.452 0.000 7.278
4.452 4.775 0.000
Rb P
4 6
direct
0.224 0.776 0.224
0.250 0.250 0.250
0.750 0.750 0.750
0.776 0.224 0.776
0.217 0.635 0.783
0.351 0.351 0.649
0.365 0.783 0.635
0.635 0.217 0.365
0.649 0.649 0.351
0.783 0.365 0.217
```

Values from the calculation:
E = -4.30 eV per atom
Total magnetization = 0.000 μB per atom

=====

Computed, not measured: Rb3P11 after structural relaxation at the PBEsol level of DFT.

POSCAR file:
```
Rb3P11
1.0
10.682 0.000 0.000
0.000 14.453 0.000
0.000 0.000 10.495
Rb P
12 44
direct
0.000 0.201 0.250
0.000 0.799 0.750
0.228 0.488 0.074
0.228 0.512 0.574
0.272 0.012 0.574
0.272 0.988 0.074
0.500 0.299 0.750
0.500 0.701 0.250
0.728 0.012 0.926
0.728 0.988 0.426
0.772 0.488 0.426
0.772 0.512 0.926
0.000 0.036 0.750
0.000 0.964 0.250
0.016 0.344 0.506
0.016 0.656 0.006
0.077 0.136 0.884
0.077 0.864 0.384
0.080 0.372 0.817
0.080 0.628 0.317
0.095 0.214 0.568
0.095 0.786 0.068
0.178 0.240 0.762
0.178 0.760 0.262
0.322 0.260 0.262
0.322 0.740 0.762
0.405 0.286 0.068
0.405 0.714 0.568
0.420 0.128 0.317
0.420 0.872 0.817
0.423 0.364 0.384
0.423 0.636 0.884
0.484 0.156 0.006
0.484 0.844 0.506
0.500 0.464 0.250
0.500 0.536 0.750
0.516 0.156 0.494
0.516 0.844 0.994
0.577 0.364 0.116
0.577 0.636 0.616
0.580 0.128 0.183
0.580 0.872 0.683
0.595 0.286 0.432
0.595 0.714 0.932
0.678 0.260 0.238
0.678 0.740 0.738
0.822 0.240 0.738
0.822 0.760 0.238
0.905 0.214 0.932
0.905 0.786 0.432
0.920 0.372 0.683
0.920 0.628 0.183
0.923 0.136 0.616
0.923 0.864 0.116
0.984 0.344 0.994
0.984 0.656 0.494
```

Values from the calculation:
E = -5.05 eV per atom
Total magnetization = 0.000 μB per atom

=====

Computed, not measured: Rb3ReP after structural relaxation at the PBEsol level of DFT.

POSCAR file:
```
Rb3ReP
1.0
6.399 0.000 0.000
0.000 6.399 0.000
0.000 0.000 6.399
Rb Re P
3 1 1
direct
0.000 0.000 0.500
0.000 0.500 0.000
0.500 0.000 0.000
0.500 0.500 0.500
0.000 0.000 0.000
```

Values from the calculation:
E = -2.94 eV per atom
Total magnetization = 1.008 μB per atom

=====

Computed, not measured: RbRePS2 after structural relaxation at the PBEsol level of DFT.

POSCAR file:
```
RbRePS2
1.0
5.098 0.000 0.000
0.000 5.098 0.000
0.000 0.000 5.344
Rb Re P S
1 1 1 2
direct
0.000 0.000 0.000
0.500 0.500 0.500
0.000 0.000 0.500
0.000 0.500 0.000
0.500 0.000 0.000
```

Values from the calculation:
E = -3.10 eV per atom
Total magnetization = 0.717 μB per atom
Formation energy (no corrections) = 2.679 eV/atom

=====

Computed, not measured: RbRePW2 after structural relaxation at the PBEsol level of DFT.

POSCAR file:
```
RbRePW2
1.0
4.608 0.000 0.000
0.000 4.608 0.000
0.000 0.000 4.529
Rb Re P W
1 1 1 2
direct
0.000 0.000 0.000
0.500 0.500 0.000
0.500 0.500 0.500
0.000 0.500 0.500
0.500 0.000 0.500
```

Values from the calculation:
E = -7.87 eV per atom
Total magnetization = 0.000 μB per atom

=====

Computed, not measured: RbZr2ReP after structural relaxation at the PBEsol level of DFT.

POSCAR file:
```
RbZr2ReP
1.0
5.183 0.000 0.000
0.000 5.183 0.000
0.000 0.000 4.609
Rb Zr Re P
1 2 1 1
direct
0.000 0.000 0.000
0.000 0.500 0.500
0.500 0.000 0.500
0.500 0.500 0.500
0.500 0.500 0.000
```

Values from the calculation:
E = -7.07 eV per atom
Total magnetization = 0.000 μB per atom

=====

Computed, not measured: RbP2RhS after structural relaxation at the PBEsol level of DFT.

POSCAR file:
```
RbP2RhS
1.0
5.113 0.000 0.000
0.000 5.113 0.000
0.000 0.000 5.013
Rb P Rh S
1 2 1 1
direct
0.000 0.000 0.000
0.000 0.500 0.000
0.500 0.000 0.000
0.500 0.500 0.500
0.000 0.000 0.500
```

Values from the calculation:
E = -2.52 eV per atom
Total magnetization = 0.224 μB per atom
Formation energy (no corrections) = 2.503 eV/atom

=====

Computed, not measured: RbP2Ru2 after structural relaxation at the PBEsol level of DFT.

POSCAR file:
```
RbP2Ru2
1.0
-2.002 2.002 6.412
2.002 -2.002 6.412
2.002 2.002 -6.412
Rb P Ru
1 2 2
direct
0.000 0.000 0.000
0.337 0.337 0.000
0.663 0.663 0.000
0.250 0.750 0.500
0.750 0.250 0.500
```

Values from the calculation:
E = -7.19 eV per atom
Total magnetization = 0.000 μB per atom

=====

Computed, not measured: RbPRu3 after structural relaxation at the PBEsol level of DFT.

POSCAR file:
```
RbPRu3
1.0
4.592 0.000 0.000
0.000 4.592 0.000
0.000 0.000 4.592
Rb P Ru
1 1 3
direct
0.000 0.000 0.000
0.500 0.500 0.500
0.000 0.000 0.500
0.000 0.500 0.000
0.500 0.000 0.000
```

Values from the calculation:
E = -4.11 eV per atom
Total magnetization = 0.001 μB per atom

=====

Computed, not measured: RbPRuS2 after structural relaxation at the PBEsol level of DFT.

POSCAR file:
```
RbPRuS2
1.0
5.147 0.000 0.000
0.000 5.147 0.000
0.000 0.000 5.170
Rb P Ru S
1 1 1 2
direct
0.000 0.000 0.000
0.000 0.000 0.500
0.500 0.500 0.500
0.000 0.500 0.000
0.500 0.000 0.000
```

Values from the calculation:
E = -2.72 eV per atom
Total magnetization = 0.782 μB per atom
Formation energy (no corrections) = 2.431 eV/atom

=====

Computed, not measured: Rb3PS4 after structural relaxation at the PBEsol level of DFT.

POSCAR file:
```
Rb3PS4
1.0
9.198 0.000 0.000
0.000 10.868 0.000
0.000 0.000 9.276
Rb P S
12 4 16
direct
0.043 0.041 0.204
0.043 0.459 0.204
0.152 0.750 0.414
0.348 0.250 0.914
0.457 0.541 0.704
0.457 0.959 0.704
0.543 0.041 0.296
0.543 0.459 0.296
0.652 0.750 0.086
0.848 0.250 0.586
0.957 0.541 0.796
0.957 0.959 0.796
0.226 0.750 0.980
0.274 0.250 0.480
0.726 0.750 0.520
0.774 0.250 0.020
0.022 0.750 0.072
0.166 0.094 0.543
0.166 0.406 0.543
0.208 0.750 0.760
0.292 0.250 0.260
0.334 0.594 0.043
0.334 0.906 0.043
0.478 0.250 0.572
0.522 0.750 0.428
0.666 0.094 0.957
0.666 0.406 0.957
0.708 0.750 0.740
0.792 0.250 0.240
0.834 0.594 0.457
0.834 0.906 0.457
0.978 0.250 0.928
```

Values from the calculation:
E = -4.32 eV per atom
Total magnetization = 0.000 μB per atom
Formation energy (no corrections) = -1.017 eV/atom